Entry 1:
A relaxed structure of RbLi2AsSe4. Source: Alexandria, functional PBE.

Calculated values
- Calculated total energy: -3.68 eV per atom
- Space group: I-42m

The structure in POSCAR format:
```
RbLi2AsSe4
1.0
6.646 0.833 0.000
-1.557 6.514 0.000
-2.544 -3.674 4.989
Rb Li As Se
1 2 1 4
Direct
0.500 0.500 0.000 Rb
0.750 0.250 0.500 Li
0.250 0.750 0.500 Li
0.000 0.000 0.000 As
0.654 0.654 0.617 Se
0.963 0.346 0.000 Se
0.346 0.963 0.000 Se
0.037 0.037 0.383 Se
```


Entry 2:
A relaxed structure of RbLiAsSe3. Source: Alexandria, functional PBE.

Calculated values
- Calculated total energy: -3.64 eV per atom
- Space group: Cmcm

The structure in POSCAR format:
```
RbLiAsSe3
1.0
6.943 0.000 0.000
0.000 7.170 0.000
0.000 -3.585 6.775
Rb Li As Se
2 2 2 6
Direct
0.750 0.237 0.474 Rb
0.250 0.763 0.526 Rb
0.250 0.083 0.166 Li
0.750 0.917 0.834 Li
0.250 0.449 0.899 As
0.750 0.551 0.101 As
0.250 0.276 0.551 Se
0.000 0.237 0.000 Se
0.500 0.763 0.000 Se
0.500 0.237 0.000 Se
0.000 0.763 0.000 Se
0.750 0.724 0.449 Se
```


Entry 3:
A relaxed structure of RbLiAs2Se. Source: Alexandria, functional PBE.

Calculated values
- Calculated total energy: -3.10 eV per atom
- Space group: P4/mmm

The structure in POSCAR format:
```
RbLiAs2Se
1.0
4.832 0.000 0.000
0.000 4.832 0.000
0.000 0.000 5.198
As Se Rb Li
2 1 1 1
Direct
0.000 0.500 0.000 As
0.500 0.000 0.000 As
0.000 0.000 0.500 Se
0.500 0.500 0.500 Rb
0.000 0.000 0.000 Li
```


Entry 4:
A relaxed structure of RbLiAs2Se. Source: Alexandria, functional PBE.

Calculated values
- Calculated total energy: -2.03 eV per atom
- Space group: P4/mmm

The structure in POSCAR format:
```
RbLiAs2Se
1.0
5.790 0.000 0.000
0.000 5.790 0.000
0.000 0.000 5.993
As Se Rb Li
2 1 1 1
Direct
0.000 0.500 0.000 As
0.500 0.000 0.000 As
0.000 0.000 0.500 Se
0.000 0.000 0.000 Rb
0.500 0.500 0.500 Li
```


Entry 5:
A relaxed structure of RbLiAsSe2. Source: Alexandria, functional PBE.

Calculated values
- Calculated total energy: -3.47 eV per atom
- Space group: Cmme

The structure in POSCAR format:
```
RbLiAsSe2
1.0
6.669 0.000 0.000
0.000 5.468 0.000
0.000 -2.734 7.634
Rb Li As Se
2 2 2 4
Direct
0.248 0.750 0.500 Rb
0.752 0.250 0.500 Rb
0.500 0.750 0.000 Li
0.500 0.250 0.000 Li
0.000 0.000 0.000 As
0.000 0.500 0.000 As
0.711 0.889 0.778 Se
0.711 0.611 0.222 Se
0.289 0.389 0.778 Se
0.289 0.111 0.222 Se
```


Entry 6:
A relaxed structure of RbLiAsSe2. Source: Alexandria, functional PBE.

Calculated values
- Calculated total energy: -3.03 eV per atom
- Space group: P4/mmm

The structure in POSCAR format:
```
RbLiAsSe2
1.0
5.101 0.000 0.000
0.000 5.101 0.000
0.000 0.000 4.759
As Se Rb Li
1 2 1 1
Direct
0.000 0.000 0.500 As
0.000 0.500 0.000 Se
0.500 0.000 0.000 Se
0.500 0.500 0.500 Rb
0.000 0.000 0.000 Li
```


Entry 7:
A relaxed structure of RbLiAsSe2. Source: Alexandria, functional PBE.

Calculated values
- Calculated total energy: -2.10 eV per atom
- Space group: P4/mmm

The structure in POSCAR format:
```
RbLiAsSe2
1.0
-0.899 0.620 -6.173
0.823 -6.170 -0.740
-6.320 -0.942 0.826
As Se Rb Li
1 2 1 1
Direct
0.000 0.000 0.500 As
0.000 0.500 0.000 Se
0.500 0.000 0.000 Se
0.000 0.000 0.000 Rb
0.500 0.500 0.500 Li
```


Entry 8:
A relaxed structure of Rb2LiAsSe4. Source: Alexandria, functional PBE.

Calculated values
- Calculated total energy: -3.58 eV per atom
- Space group: Fddd

The structure in POSCAR format:
```
Rb2LiAsSe4
1.0
-3.778 1.631 -4.607
-1.006 -5.497 -5.263
-11.794 -3.639 4.242
Rb Li As Se
4 2 2 8
Direct
0.183 0.000 0.635 Rb
0.817 0.000 0.365 Rb
0.567 0.500 0.865 Rb
0.933 0.500 0.135 Rb
0.750 0.500 0.500 Li
0.000 0.000 0.000 Li
0.250 0.500 0.500 As
0.500 0.000 0.000 As
0.327 0.803 0.105 Se
0.235 0.197 0.895 Se
0.870 0.803 0.895 Se
0.568 0.197 0.105 Se
0.423 0.697 0.395 Se
0.515 0.303 0.605 Se
0.880 0.697 0.605 Se
0.182 0.303 0.395 Se
```